[1]
Material: La3Sm8Tm4
Method: DFT, PBE
State: relaxed

Output
Space group = C2/m, No. 12
Energy of formation from the pure elements = 0.346 eV/atom
Total moment = 0.0 μB/f.u.

a = 6.889 Å, b = 9.344 Å, c = 9.344 Å
α = 82.02°, β = 112.55°, γ = 112.55°
Atoms (fractional coordinates):
1 Sm 0.500 0.753 0.247
2 La 0.500 0.500 0.000
3 Tm 0.000 0.000 0.000
4 Sm 0.500 0.247 0.753
5 Sm 0.762 0.297 0.297
6 Tm 0.000 0.500 0.000
7 Sm 0.000 0.706 0.294
8 La 0.500 0.500 0.500
9 La 0.500 0.000 0.500
10 Sm 0.821 0.755 0.755
11 Sm 0.179 0.245 0.245
12 Sm 0.238 0.703 0.703
13 Sm 0.000 0.294 0.706
14 Tm 0.000 0.000 0.500
15 Tm 0.500 0.000 0.000



[2]
Material: Cr
Method: DFT, PBE
State: relaxed

Output
E above lowest polymorph = 52.0 meV per atom
Space group = Pm-3n, No. 223
Energy of formation from the pure elements = 0.052 eV/atom
Total moment = 0.0 μB/f.u.

a = 4.543 Å, b = 4.543 Å, c = 4.543 Å
α = 90.00°, β = 90.00°, γ = 90.00°
Atoms (fractional coordinates):
1 Cr 0.000 0.500 0.250
2 Cr 0.750 0.000 0.500
3 Cr 0.000 0.500 0.750
4 Cr 0.500 0.750 0.000
5 Cr 0.500 0.250 0.000
6 Cr 0.000 0.000 0.000
7 Cr 0.500 0.500 0.500
8 Cr 0.250 0.000 0.500



[3]
Material: Er3Tl2Pd2
Method: DFT, PBE
State: relaxed

Output
Space group = Cmmm, No. 65
Energy of formation from the pure elements = -0.624 eV/atom
Total moment = 0.0 μB/f.u.

a = 4.146 Å, b = 3.568 Å, c = 11.456 Å
α = 90.00°, β = 79.57°, γ = 90.00°
Atoms (fractional coordinates):
1 Tl 0.418 0.500 0.163
2 Pd 0.289 0.500 0.421
3 Tl 0.582 0.500 0.837
4 Er 0.000 0.000 0.000
5 Er 0.828 0.000 0.343
6 Pd 0.711 0.500 0.579
7 Er 0.172 0.000 0.657



[4]
Material: DyHf2Ru
Method: DFT, PBE
State: relaxed

Output
Space group = P4/mmm, No. 123
Energy of formation from the pure elements = -0.224 eV/atom
Total moment = 0.0 μB/f.u.

a = 3.277 Å, b = 3.277 Å, c = 7.962 Å
α = 90.00°, β = 90.00°, γ = 90.00°
Atoms (fractional coordinates):
1 Hf 0.000 0.000 0.801
2 Ru 0.500 0.500 0.000
3 Hf 0.000 0.000 0.199
4 Dy 0.500 0.500 0.500



[5]
Material: BaSc2Ru
Method: DFT, PBE
State: relaxed

Output
E above lowest polymorph = 121.6 meV per atom
Space group = R-3m, No. 166
Energy of formation from the pure elements = -0.047 eV/atom
Total moment = 0.0 μB/f.u.

a = 4.155 Å, b = 4.155 Å, c = 8.301 Å
α = 75.55°, β = 75.55°, γ = 59.96°
Atoms (fractional coordinates):
1 Ru 0.750 0.750 0.750
2 Ba 0.250 0.250 0.250
3 Sc 0.461 0.461 0.616
4 Sc 0.039 0.039 0.884



[6]
Material: ZnB3Pb
Method: DFT, PBE
State: relaxed

Output
E above lowest polymorph = 0.0 meV per atom
Space group = Pm-3m, No. 221
Energy of formation from the pure elements = 1.771 eV/atom
Total moment = 0.0 μB/f.u.

a = 4.233 Å, b = 4.233 Å, c = 4.233 Å
α = 90.00°, β = 90.00°, γ = 90.00°
Atoms (fractional coordinates):
1 Pb 0.500 0.500 0.500
2 B 0.500 0.000 0.000
3 Zn 0.000 0.000 0.000
4 B 0.000 0.500 0.000
5 B 0.000 0.000 0.500



[7]
Material: ZrBeTe2N
Method: DFT, PBE
State: relaxed

Output
ΔE_f (raw) = 519 meV/atom
E above lowest polymorph = 391.2 meV per atom
Space group = P4/mmm, No. 123
Total moment = 0.0 μB/f.u.

a = 5.746 Å, b = 5.746 Å, c = 3.999 Å
α = 90.00°, β = 90.00°, γ = 90.00°
Atoms (fractional coordinates):
1 N 0.000 0.000 0.500
2 Te 0.500 0.000 0.000
3 Be 0.500 0.500 0.500
4 Te 0.000 0.500 0.000
5 Zr 0.000 0.000 0.000



[8]
Material: HfNbVRu
Method: DFT, PBE
State: relaxed

Output
E above lowest polymorph = 0.0 meV per atom
Space group = P4mm, No. 99
Energy of formation from the pure elements = -0.265 eV/atom
Total moment = 0.0 μB/f.u.

a = 3.190 Å, b = 3.190 Å, c = 6.539 Å
α = 90.00°, β = 90.00°, γ = 90.00°
Atoms (fractional coordinates):
1 Ru 0.000 0.000 0.864
2 Hf 0.500 0.500 0.609
3 V 0.000 0.000 0.347
4 Nb 0.500 0.500 0.108



[9]
Material: Mg6TlAg5
Method: DFT, PBE
State: relaxed

Output
Space group = Cmmm, No. 65
Energy of formation from the pure elements = -0.194 eV/atom
Total moment = 0.0 μB/f.u.

a = 4.791 Å, b = 6.719 Å, c = 7.595 Å
α = 90.00°, β = 71.61°, γ = 90.00°
Atoms (fractional coordinates):
1 Tl 0.000 0.000 0.000
2 Mg 0.828 0.743 0.344
3 Mg 0.828 0.257 0.344
4 Ag 0.669 0.000 0.661
5 Mg 0.172 0.257 0.656
6 Mg 0.500 0.740 0.000
7 Ag 0.331 0.000 0.339
8 Mg 0.500 0.260 0.000
9 Mg 0.172 0.743 0.656
10 Ag 0.663 0.500 0.675
11 Ag 0.337 0.500 0.325
12 Ag 0.000 0.500 0.000



[10]
Material: SrMg2F6
Method: DFT, PBE
State: relaxed

Output
ΔE_f (raw) = -3678 meV/atom
Space group = P-31m, No. 162
Total moment = 0.0 μB/f.u.

a = 5.204 Å, b = 5.316 Å, c = 5.316 Å
α = 120.00°, β = 90.00°, γ = 90.00°
Atoms (fractional coordinates):
1 F 0.290 0.367 0.367
2 F 0.710 0.633 0.633
3 F 0.710 0.000 0.367
4 F 0.290 0.633 0.000
5 Mg 0.500 0.333 0.667
6 Sr 0.000 0.000 0.000
7 Mg 0.500 0.667 0.333
8 F 0.710 0.367 0.000
9 F 0.290 0.000 0.633



[11]
Material: HgOs2Pt
Method: DFT, PBE
State: relaxed

Output
Space group = I4/mmm, No. 139
Energy of formation from the pure elements = 0.755 eV/atom
Total moment = 0.0 μB/f.u.

a = 4.910 Å, b = 4.910 Å, c = 4.910 Å
α = 132.09°, β = 132.09°, γ = 70.09°
Atoms (fractional coordinates):
1 Hg 0.750 0.250 0.500
2 Os 0.500 0.500 0.000
3 Os 0.000 0.000 0.000
4 Pt 0.250 0.750 0.500



[12]
Material: SmEuAl
Method: DFT, PBE
State: relaxed

Output
E above lowest polymorph = 0.0 meV per atom
Space group = P3m1, No. 156
Energy of formation from the pure elements = -0.080 eV/atom
Total moment = 7.0 μB/f.u.

a = 3.550 Å, b = 5.249 Å, c = 5.249 Å
α = 120.00°, β = 90.00°, γ = 90.00°
Each line ends with the local moment (μB).
Atoms (fractional coordinates):
1 Al 0.652 0.667 0.333  -0.03
2 Eu 0.980 0.000 0.000  6.84
3 Sm 0.368 0.333 0.667  -0.02